Entry i
The following is a PBE calculation of CaTm2Ir after structural relaxation, from Alexandria.

Unit cell a=4.0916 b=4.0916 c=9.0684 alpha=76.96 beta=76.96 gamma=60.00
Sites, in units of the cell vectors:
Tm  0.0514  0.0514  0.8457
Tm  0.2809  0.2809  0.1573
Ir  0.6660  0.6660  0.0021
Ca  0.5017  0.5017  0.4949

Results
Its calculated density is 7.459 Mg/m³. Its density of states at the Fermi level is 0.918 states/eV/atom.



Entry ii
The following is a PBE calculation of CaTm2Ir after structural relaxation, from Alexandria.

Unit cell a=4.0253 b=4.0253 c=9.5127 alpha=77.79 beta=77.79 gamma=60.00
Sites, in units of the cell vectors:
Tm  0.7178  0.7178  0.8465
Tm  0.2822  0.2822  0.1535
Ir  0.0000  0.0000  0.0000
Ca  0.5000  0.5000  0.5000

Results
Its calculated density is 7.314 Mg/m³. Its density of states at the Fermi level is 0.989 states/eV/atom.



Preferred: entry i; penalty for the next structure: 21 meV/atom.



Entry i
The following is a PBE calculation of Ca3VIr after structural relaxation, from Alexandria.

Unit cell a=5.3845 b=5.3845 c=5.3845 alpha=90.00 beta=90.00 gamma=90.00
Last column: magnetic moment on the atom in μB.
Sites, in units of the cell vectors:
Ca  0.5000  0.0000  0.0000  0.16
Ca  0.0000  0.5000  0.0000  0.16
Ca  0.0000  0.0000  0.5000  0.16
V  0.0000  0.0000  0.0000  3.31
Ir  0.5000  0.5000  0.5000  0.57

Results
Its calculated density is 3.865 Mg/m³. Its density of states at the Fermi level is 0.715 states/eV/atom.



Entry ii
The following is a PBE calculation of Ca3VIr after structural relaxation, from Alexandria.

Unit cell a=5.4598 b=5.4598 c=5.4598 alpha=90.00 beta=90.00 gamma=90.00
Last column: magnetic moment on the atom in μB.
Sites, in units of the cell vectors:
Ca  0.0000  0.0000  0.5000  0.03
Ca  0.5000  0.0000  0.0000  0.03
Ca  0.0000  0.5000  0.0000  0.03
V  0.5000  0.5000  0.5000  3.13
Ir  0.0000  0.0000  0.0000  0.09

Results
Its calculated density is 3.708 Mg/m³. Its density of states at the Fermi level is 1.288 states/eV/atom.



Preferred: entry ii; penalty for the next structure: 841 meV/atom.